# 1
{
  "formula": "BaGaGe",
  "functional": "PBEsol",
  "state": "relaxed",
  "lattice": [[-1.925, 1.557, 3.521], [1.413, -4.065, -0.060], [4.456, 1.523, 1.763]],
  "species": ["Ga", "Ge", "Ba"],
  "frac_coords": [[0.667, 0.333, 0.500], [0.333, 0.667, 0.500], [0.000, 0.000, 0.000]],
  "dos_ef_per_ev_fu": 1.4,
  "total_energy_ev_per_atom": -4.04,
  "rho_g_cm3": 5.76,
  "formation_enthalpy_0k_ev_per_atom": -0.564
}


# 2
{
  "formula": "NbSnSCl2",
  "functional": "PBEsol",
  "state": "relaxed",
  "lattice": [[-1.711, -4.330, 1.073], [4.513, -1.803, -0.077], [0.475, 0.986, 4.736]],
  "species": ["S", "Cl", "Nb", "Sn", "Cl"],
  "frac_coords": [[0.500, 0.000, 0.000], [0.000, 0.500, 0.000], [0.000, 0.000, 0.000], [0.500, 0.500, 0.500], [0.000, 0.000, 0.500]],
  "dos_ef_per_ev_fu": 5.2,
  "total_energy_ev_per_atom": -5.10,
  "rho_g_cm3": 4.63
}